1.
# Li2Ga13 | the Alexandria database | PBE-GGA | optimized geometry
data_Li2Ga13
_chemical_formula_sum 'Li6 Ga39'
_symmetry_space_group_name_H-M 'R -3 m'
_symmetry_Int_Tables_number 166
_symmetry_space_group_name_Hall '-R 3 2"'
_cell_length_a 7.7222
_cell_length_b 7.7222
_cell_length_c 18.9858
_cell_angle_alpha 90.00
_cell_angle_beta 90.00
_cell_angle_gamma 120.00
loop_
_atom_site_label
_atom_site_type_symbol
_atom_site_fract_x
_atom_site_fract_y
_atom_site_fract_z
Li1 Li 0.0000 0.0000 0.2351
Ga1 Ga 0.0000 0.0000 0.0000
Ga2 Ga 0.0825 0.5413 0.5597
Ga3 Ga 0.0893 0.5446 0.3010
# Formation enthalpy at 0 K in eV/atom: 0.03
# N(E_F) in states/eV per cell: 15.34

***

2.
# KSr8 | the Alexandria database | PBE-GGA | optimized geometry
data_KSr8
_chemical_formula_sum 'K2 Sr16'
_symmetry_space_group_name_H-M 'I 4/m m m'
_symmetry_Int_Tables_number 139
_symmetry_space_group_name_Hall '-I 4 2'
_cell_length_a 12.8861
_cell_length_b 12.8861
_cell_length_c 6.0707
_cell_angle_alpha 90.00
_cell_angle_beta 90.00
_cell_angle_gamma 90.00
loop_
_atom_site_label
_atom_site_type_symbol
_atom_site_fract_x
_atom_site_fract_y
_atom_site_fract_z
K1 K 0.0000 0.0000 0.0000
Sr1 Sr 0.0000 0.3358 0.0000
Sr2 Sr 0.1689 0.1689 0.5000
# Formation enthalpy at 0 K in eV/atom: 0.04
# N(E_F) in states/eV per cell: 18.28

***

3.
# PrSc2Mn | the Alexandria database | PBE-GGA | optimized geometry
data_PrSc2Mn
_chemical_formula_sum 'Pr1 Sc2 Mn1'
_symmetry_space_group_name_H-M 'P 4/m m m'
_symmetry_Int_Tables_number 123
_symmetry_space_group_name_Hall '-P 4 2'
_cell_length_a 3.2622
_cell_length_b 3.2622
_cell_length_c 8.6578
_cell_angle_alpha 90.00
_cell_angle_beta 90.00
_cell_angle_gamma 90.00
loop_
_atom_site_label
_atom_site_type_symbol
_atom_site_fract_x
_atom_site_fract_y
_atom_site_fract_z
Pr1 Pr 0.0000 0.0000 0.0000
Sc1 Sc 0.5000 0.5000 0.3210
Mn1 Mn 0.0000 0.0000 0.5000
# Formation enthalpy at 0 K in eV/atom: 0.08
# N(E_F) in states/eV per cell: 6.02

***

4.
# TaTc2RuO | the Alexandria database | PBE-GGA | optimized geometry
data_TaTc2RuO
_chemical_formula_sum 'Ta1 Tc2 Ru1 O1'
_symmetry_space_group_name_H-M 'P 4/m m m'
_symmetry_Int_Tables_number 123
_symmetry_space_group_name_Hall '-P 4 2'
_cell_length_a 4.8787
_cell_length_b 4.8787
_cell_length_c 4.7125
_cell_angle_alpha 90.00
_cell_angle_beta 90.00
_cell_angle_gamma 90.00
loop_
_atom_site_label
_atom_site_type_symbol
_atom_site_fract_x
_atom_site_fract_y
_atom_site_fract_z
Ta1 Ta 0.0000 0.0000 0.0000
Tc1 Tc 0.0000 0.5000 0.0000
Ru1 Ru 0.0000 0.0000 0.5000
O1 O 0.5000 0.5000 0.5000
# Formation energy without anion corrections in eV per atom: 2.28
# N(E_F) in states/eV per cell: 3.29

***

5.
# Dy6AsAu2Se3 | the Alexandria database | PBE-GGA | optimized geometry
data_Dy6AsAu2Se3
_chemical_formula_sum 'Dy12 As2 Au4 Se6'
_symmetry_space_group_name_H-M 'C 1 2/m 1'
_symmetry_Int_Tables_number 12
_symmetry_space_group_name_Hall '-C 2y'
_cell_length_a 18.4499
_cell_length_b 4.0479
_cell_length_c 8.3966
_cell_angle_alpha 90.00
_cell_angle_beta 108.03
_cell_angle_gamma 90.00
loop_
_atom_site_label
_atom_site_type_symbol
_atom_site_fract_x
_atom_site_fract_y
_atom_site_fract_z
Dy1 Dy 0.0070 0.0000 0.2465
Dy2 Dy 0.1596 0.5000 0.6070
Dy3 Dy 0.1666 0.5000 0.1112
As1 As 0.0000 0.5000 0.0000
Au1 Au 0.1809 0.0000 0.3758
Se1 Se 0.0000 0.5000 0.5000
Se2 Se 0.1611 0.0000 0.8569
# Formation energy without anion corrections in eV per atom: -1.41
# N(E_F) in states/eV per cell: 9.25

***

6.
# CaErSnHg | the Alexandria database | PBE-GGA | optimized geometry
data_CaErSnHg
_chemical_formula_sum 'Ca4 Er4 Sn4 Hg4'
_symmetry_space_group_name_H-M 'F -4 3 m'
_symmetry_Int_Tables_number 216
_symmetry_space_group_name_Hall 'F -4 2 3'
_cell_length_a 7.5245
_cell_length_b 7.5245
_cell_length_c 7.5245
_cell_angle_alpha 90.00
_cell_angle_beta 90.00
_cell_angle_gamma 90.00
loop_
_atom_site_label
_atom_site_type_symbol
_atom_site_fract_x
_atom_site_fract_y
_atom_site_fract_z
Ca1 Ca 0.0000 0.0000 0.0000
Er1 Er 0.0000 0.0000 0.5000
Sn1 Sn 0.2500 0.2500 0.7500
Hg1 Hg 0.2500 0.2500 0.2500
# Formation enthalpy at 0 K in eV/atom: -0.56
# N(E_F) in states/eV per cell: 12.64

***

7.
# Nd3CdSe | the Alexandria database | PBE-GGA | optimized geometry
data_Nd3CdSe
_chemical_formula_sum 'Nd12 Cd4 Se4'
_symmetry_space_group_name_H-M 'P n m a'
_symmetry_Int_Tables_number 62
_symmetry_space_group_name_Hall '-P 2ac 2n'
_cell_length_a 7.5761
_cell_length_b 4.6757
_cell_length_c 16.8935
_cell_angle_alpha 90.00
_cell_angle_beta 90.00
_cell_angle_gamma 90.00
loop_
_atom_site_label
_atom_site_type_symbol
_atom_site_fract_x
_atom_site_fract_y
_atom_site_fract_z
Nd1 Nd 0.0215 0.2500 0.1033
Nd2 Nd 0.1276 0.7500 0.4437
Nd3 Nd 0.1912 0.2500 0.7286
Cd1 Cd 0.0913 0.2500 0.3107
Se1 Se 0.2245 0.7500 0.0371
# Formation energy without anion corrections in eV per atom: -0.75
# N(E_F) in states/eV per cell: 20.06

***

8.
# LaCoGe3 | the Alexandria database | PBE-GGA | optimized geometry
data_LaCoGe3
_chemical_formula_sum 'La1 Co1 Ge3'
_symmetry_space_group_name_H-M 'P m -3 m'
_symmetry_Int_Tables_number 221
_symmetry_space_group_name_Hall '-P 4 2 3'
_cell_length_a 4.6705
_cell_length_b 4.6705
_cell_length_c 4.6705
_cell_angle_alpha 90.00
_cell_angle_beta 90.00
_cell_angle_gamma 90.00
loop_
_atom_site_label
_atom_site_type_symbol
_atom_site_fract_x
_atom_site_fract_y
_atom_site_fract_z
La1 La 0.0000 0.0000 0.0000
Co1 Co 0.5000 0.5000 0.5000
Ge1 Ge 0.0000 0.5000 0.5000
# Formation enthalpy at 0 K in eV/atom: -0.22
# N(E_F) in states/eV per cell: 1.56